[1]
Below is CsNbTe2 after structural relaxation, with properties calculated at the PBE level.

Geometry as CIF:
```
data_CsNbTe2
_chemical_formula_sum 'Cs4 Nb4 Te8'
_cell_length_a 8.504
_cell_length_b 8.504
_cell_length_c 9.703
_cell_angle_alpha 90.00
_cell_angle_beta 90.00
_cell_angle_gamma 90.00
_symmetry_space_group_name_H-M 'I -4 2 d'
_symmetry_Int_Tables_number 122
_symmetry_space_group_name_Hall 'I -4 2bw'
loop_
_atom_site_label
_atom_site_fract_x
_atom_site_fract_y
_atom_site_fract_z
Cs1 0.000 0.000 0.000
Nb1 0.000 0.000 0.500
Te1 0.143 0.250 0.625
```

Output
Density of states at the Fermi level (states/eV/f.u.): 2.090
E_form (uncorrected) (meV per atom): -389

[2]
Below is Cs4NbTe4 after structural relaxation, with properties calculated at the PBE level.

Geometry as CIF:
```
data_Cs4NbTe4
_chemical_formula_sum 'Cs8 Nb2 Te8'
_cell_length_a 11.085
_cell_length_b 11.085
_cell_length_c 7.649
_cell_angle_alpha 90.00
_cell_angle_beta 90.00
_cell_angle_gamma 90.00
_symmetry_space_group_name_H-M 'I 4/m'
_symmetry_Int_Tables_number 87
_symmetry_space_group_name_Hall '-I 4'
loop_
_atom_site_label
_atom_site_fract_x
_atom_site_fract_y
_atom_site_fract_z
Cs1 0.080 0.293 0.000
Nb1 0.000 0.000 0.500
Te1 0.079 0.237 0.500
```

Output
E_form (uncorrected) (meV per atom): -659
E above lowest polymorph (eV per formula unit): 1.01

[3]
Below is Cs4NbTe5 after structural relaxation, with properties calculated at the PBE level.

Geometry as CIF:
```
data_Cs4NbTe5
_chemical_formula_sum 'Cs8 Nb2 Te10'
_cell_length_a 11.569
_cell_length_b 11.569
_cell_length_c 7.678
_cell_angle_alpha 90.00
_cell_angle_beta 90.00
_cell_angle_gamma 90.00
_symmetry_space_group_name_H-M 'I 4'
_symmetry_Int_Tables_number 79
loop_
_symmetry_equiv_pos_as_xyz
'x,y,z'
'-y,x,z'
'-x,-y,z'
'y,-x,z'
'x+1/2,y+1/2,z+1/2'
'-y+1/2,x+1/2,z+1/2'
'-x+1/2,-y+1/2,z+1/2'
'y+1/2,-x+1/2,z+1/2'
loop_
_atom_site_label
_atom_site_fract_x
_atom_site_fract_y
_atom_site_fract_z
Cs1 0.089 0.698 0.000
Nb1 0.000 0.000 0.592
Te1 0.000 0.000 0.933
Te2 0.074 0.781 0.497
```

Output
Density of states at the Fermi level (states/eV/f.u.): 2.690
E_form (uncorrected) (meV per atom): -747

[4]
Below is Cs4NbTe4 after structural relaxation, with properties calculated at the PBE level.

Geometry as CIF:
```
data_Cs4NbTe4
_chemical_formula_sum 'Cs8 Nb2 Te8'
_cell_length_a 9.034
_cell_length_b 9.034
_cell_length_c 14.620
_cell_angle_alpha 90.00
_cell_angle_beta 90.00
_cell_angle_gamma 90.00
_symmetry_space_group_name_H-M 'I -4 2 m'
_symmetry_Int_Tables_number 121
_symmetry_space_group_name_Hall 'I -4 2'
loop_
_atom_site_label
_atom_site_fract_x
_atom_site_fract_y
_atom_site_fract_z
Cs1 0.000 0.000 0.191
Cs2 0.000 0.500 0.000
Nb1 0.000 0.000 0.500
Te1 0.173 0.173 0.394
```

Output
Density of states at the Fermi level (states/eV/f.u.): 5.629
E_form (uncorrected) (meV per atom): -771
E above lowest polymorph (eV per formula unit): 0.00

[5]
Below is CsNb4Te8 after structural relaxation, with properties calculated at the PBE level.

Geometry as CIF:
```
data_CsNb4Te8
_chemical_formula_sum 'Cs2 Nb8 Te16'
_cell_length_a 20.253
_cell_length_b 3.724
_cell_length_c 13.652
_cell_angle_alpha 90.00
_cell_angle_beta 132.10
_cell_angle_gamma 90.00
_symmetry_space_group_name_H-M 'C 1 2/m 1'
_symmetry_Int_Tables_number 12
loop_
_symmetry_equiv_pos_as_xyz
'x,y,z'
'-x,-y,-z'
'-x,y,-z'
'x,-y,z'
'x+1/2,y+1/2,z'
'-x+1/2,-y+1/2,-z'
'-x+1/2,y+1/2,-z'
'x+1/2,-y+1/2,z'
loop_
_atom_site_label
_atom_site_fract_x
_atom_site_fract_y
_atom_site_fract_z
Cs1 0.000 0.000 0.000
Nb1 0.133 0.000 0.808
Nb2 0.189 0.500 0.505
Te1 0.045 0.000 0.345
Te2 0.133 0.500 0.658
Te3 0.170 0.500 0.998
Te4 0.191 0.500 0.303
```

Output
Density of states at the Fermi level (states/eV/f.u.): 8.104
E_form (uncorrected) (meV per atom): -450

[6]
Below is Cs3NbTl2Te6 after structural relaxation, with properties calculated at the PBE level.

Geometry as CIF:
```
data_Cs3NbTl2Te6
_chemical_formula_sum 'Cs6 Nb2 Tl4 Te12'
_cell_length_a 7.983
_cell_length_b 13.805
_cell_length_c 9.069
_cell_angle_alpha 90.00
_cell_angle_beta 106.65
_cell_angle_gamma 90.00
_symmetry_space_group_name_H-M 'C 1 2/m 1'
_symmetry_Int_Tables_number 12
loop_
_symmetry_equiv_pos_as_xyz
'x,y,z'
'-x,-y,-z'
'-x,y,-z'
'x,-y,z'
'x+1/2,y+1/2,z'
'-x+1/2,-y+1/2,-z'
'-x+1/2,y+1/2,-z'
'x+1/2,-y+1/2,z'
loop_
_atom_site_label
_atom_site_fract_x
_atom_site_fract_y
_atom_site_fract_z
Cs1 0.000 0.000 0.000
Cs2 0.000 0.320 0.000
Nb1 0.000 0.500 0.500
Tl1 0.000 0.163 0.500
Te1 0.209 0.352 0.681
Te2 0.228 0.500 0.310
```

Output
Density of states at the Fermi level (states/eV/f.u.): 5.503
E_form (uncorrected) (meV per atom): -544

[7]
Below is Cs2NbTlTe4 after structural relaxation, with properties calculated at the PBE level.

Geometry as CIF:
```
data_Cs2NbTlTe4
_chemical_formula_sum 'Cs16 Nb8 Tl8 Te32'
_cell_length_a 7.974
_cell_length_b 14.505
_cell_length_c 27.278
_cell_angle_alpha 90.00
_cell_angle_beta 90.00
_cell_angle_gamma 90.00
_symmetry_space_group_name_H-M 'F d d d'
_symmetry_Int_Tables_number 70
loop_
_symmetry_equiv_pos_as_xyz
'x,y,z'
'-x,-y,-z'
'-x+1/4,-y+1/4,z'
'x+1/4,y+1/4,-z'
'x,-y+1/4,-z+1/4'
'-x,y+1/4,z+1/4'
'-x+1/4,y,-z+1/4'
'x+1/4,-y,z+1/4'
'x,y+1/2,z+1/2'
'-x,-y+1/2,-z+1/2'
'-x+1/4,-y+3/4,z+1/2'
'x+1/4,y+3/4,-z+1/2'
'x,-y+3/4,-z+3/4'
'-x,y+3/4,z+3/4'
'-x+1/4,y+1/2,-z+3/4'
'x+1/4,-y+1/2,z+3/4'
'x+1/2,y,z+1/2'
'-x+1/2,-y,-z+1/2'
'-x+3/4,-y+1/4,z+1/2'
'x+3/4,y+1/4,-z+1/2'
'x+1/2,-y+1/4,-z+3/4'
'-x+1/2,y+1/4,z+3/4'
'-x+3/4,y,-z+3/4'
'x+3/4,-y,z+3/4'
'x+1/2,y+1/2,z'
'-x+1/2,-y+1/2,-z'
'-x+3/4,-y+3/4,z'
'x+3/4,y+3/4,-z'
'x+1/2,-y+3/4,-z+1/4'
'-x+1/2,y+3/4,z+1/4'
'-x+3/4,y+1/2,-z+1/4'
'x+3/4,-y+1/2,z+1/4'
loop_
_atom_site_label
_atom_site_fract_x
_atom_site_fract_y
_atom_site_fract_z
Cs1 0.125 0.125 0.307
Nb1 0.125 0.125 0.625
Tl1 0.125 0.125 0.125
Te1 0.073 0.274 0.820
```

Output
E_form (uncorrected) (meV per atom): -648

[8]
Below is CsNbTl2Te4 after structural relaxation, with properties calculated at the PBE level.

Geometry as CIF:
```
data_CsNbTl2Te4
_chemical_formula_sum 'Cs4 Nb4 Tl8 Te16'
_cell_length_a 11.859
_cell_length_b 11.919
_cell_length_c 9.390
_cell_angle_alpha 90.00
_cell_angle_beta 90.00
_cell_angle_gamma 90.00
_symmetry_space_group_name_H-M 'F m m 2'
_symmetry_Int_Tables_number 42
_symmetry_space_group_name_Hall 'F 2 -2'
loop_
_atom_site_label
_atom_site_fract_x
_atom_site_fract_y
_atom_site_fract_z
Cs1 0.000 0.000 0.000
Nb1 0.000 0.000 0.500
Tl1 0.250 0.250 0.497
Te1 0.000 0.185 0.653
Te2 0.186 0.000 0.346
```

Output
Density of states at the Fermi level (states/eV/f.u.): 0.000
E_form (uncorrected) (meV per atom): -513

[9]
Below is CsTiNb3 after structural relaxation, with properties calculated at the PBE level.

Geometry as CIF:
```
data_CsTiNb3
_chemical_formula_sum 'Cs1 Ti1 Nb3'
_cell_length_a 4.994
_cell_length_b 4.994
_cell_length_c 4.994
_cell_angle_alpha 90.00
_cell_angle_beta 90.00
_cell_angle_gamma 90.00
_symmetry_space_group_name_H-M 'P m -3 m'
_symmetry_Int_Tables_number 221
_symmetry_space_group_name_Hall '-P 4 2 3'
loop_
_atom_site_label
_atom_site_fract_x
_atom_site_fract_y
_atom_site_fract_z
Cs1 0.000 0.000 0.000
Ti1 0.500 0.500 0.500
Nb1 0.000 0.500 0.500
```

Output
Density of states at the Fermi level (states/eV/f.u.): 9.156
DFT formation energy (eV/f.u.): 8.38
E above lowest polymorph (eV per formula unit): 0.00

[10]
Below is CsTi2Nb after structural relaxation, with properties calculated at the PBE level.

Geometry as CIF:
```
data_CsTi2Nb
_chemical_formula_sum 'Cs4 Ti8 Nb4'
_cell_length_a 7.701
_cell_length_b 7.701
_cell_length_c 10.823
_cell_angle_alpha 90.00
_cell_angle_beta 90.00
_cell_angle_gamma 90.00
_symmetry_space_group_name_H-M 'I 41/a m d'
_symmetry_Int_Tables_number 141
loop_
_symmetry_equiv_pos_as_xyz
'x,y,z'
'-x,-y,-z'
'-y+1/4,x+3/4,z+1/4'
'y+1/4,-x+3/4,-z+1/4'
'-x+1/2,-y,z+1/2'
'x+1/2,y,-z+1/2'
'y+1/4,-x+1/4,z+3/4'
'-y+1/4,x+1/4,-z+3/4'
'x,-y,-z'
'-x,y,z'
'-y+1/4,-x+1/4,-z+3/4'
'y+1/4,x+1/4,z+3/4'
'-x+1/2,y,-z+1/2'
'x+1/2,-y,z+1/2'
'y+1/4,x+3/4,-z+1/4'
'-y+1/4,-x+3/4,z+1/4'
'x+1/2,y+1/2,z+1/2'
'-x+1/2,-y+1/2,-z+1/2'
'-y+3/4,x+1/4,z+3/4'
'y+3/4,-x+1/4,-z+3/4'
'-x,-y+1/2,z'
'x,y+1/2,-z'
'y+3/4,-x+3/4,z+1/4'
'-y+3/4,x+3/4,-z+1/4'
'x+1/2,-y+1/2,-z+1/2'
'-x+1/2,y+1/2,z+1/2'
'-y+3/4,-x+3/4,-z+1/4'
'y+3/4,x+3/4,z+1/4'
'-x,y+1/2,-z'
'x,-y+1/2,z'
'y+3/4,x+1/4,-z+3/4'
'-y+3/4,-x+1/4,z+3/4'
loop_
_atom_site_label
_atom_site_fract_x
_atom_site_fract_y
_atom_site_fract_z
Cs1 0.000 0.250 0.375
Ti1 0.000 0.000 0.000
Nb1 0.000 0.250 0.875
```

Output
Density of states at the Fermi level (states/eV/f.u.): 0.227
DFT formation energy (eV/f.u.): 5.86
E above lowest polymorph (eV per formula unit): 0.50

[11]
Below is CsTiNb2 after structural relaxation, with properties calculated at the PBE level.

Geometry as CIF:
```
data_CsTiNb2
_chemical_formula_sum 'Cs4 Ti4 Nb8'
_cell_length_a 6.937
_cell_length_b 6.937
_cell_length_c 6.937
_cell_angle_alpha 90.00
_cell_angle_beta 90.00
_cell_angle_gamma 90.00
_symmetry_space_group_name_H-M 'F m -3 m'
_symmetry_Int_Tables_number 225
_symmetry_space_group_name_Hall '-F 4 2 3'
loop_
_atom_site_label
_atom_site_fract_x
_atom_site_fract_y
_atom_site_fract_z
Cs1 0.000 0.000 0.000
Ti1 0.000 0.000 0.500
Nb1 0.250 0.250 0.250
```

Output
Density of states at the Fermi level (states/eV/f.u.): 8.249
DFT formation energy (eV/f.u.): 6.29
E above lowest polymorph (eV per formula unit): 0.00

[12]
Below is Cs3TiNb after structural relaxation, with properties calculated at the PBE level.

Geometry as CIF:
```
data_Cs3TiNb
_chemical_formula_sum 'Cs3 Ti1 Nb1'
_cell_length_a 6.442
_cell_length_b 6.442
_cell_length_c 6.442
_cell_angle_alpha 90.00
_cell_angle_beta 90.00
_cell_angle_gamma 90.00
_symmetry_space_group_name_H-M 'P m -3 m'
_symmetry_Int_Tables_number 221
_symmetry_space_group_name_Hall '-P 4 2 3'
loop_
_atom_site_label
_atom_site_fract_x
_atom_site_fract_y
_atom_site_fract_z
Cs1 0.000 0.000 0.500
Ti1 0.500 0.500 0.500
Nb1 0.000 0.000 0.000
```

Output
Density of states at the Fermi level (states/eV/f.u.): 8.073
DFT formation energy (eV/f.u.): 10.04